Run 1
YErIr: optimized geometry, PBE.

- space-group type = F-43m, No. 216

The structure in POSCAR format:
```
YErIr
1.0
4.791 0.000 0.000
2.395 4.149 0.000
2.395 1.383 3.912
Er Ir Y
1 1 1
direct
0.500 0.500 0.500
0.250 0.250 0.250
0.000 0.000 0.000
```

---

Run 2
YErIr: optimized geometry, PBE.

- space-group type = C2/c, No. 15

The structure in POSCAR format:
```
YErIr
1.0
-1.192 -4.537 0.974
3.270 -0.108 3.498
-4.659 2.181 4.401
Er Y Ir
2 2 2
direct
0.000 0.500 0.750
0.000 0.500 0.250
0.500 0.000 0.750
0.500 0.000 0.250
0.500 0.500 0.500
0.000 0.000 0.000
```

---

Run 3
YErIr: optimized geometry, PBE.

- space-group type = P3m1, No. 156

The structure in POSCAR format:
```
YErIr
1.0
-5.748 1.880 -0.731
-1.129 -3.819 -0.941
-0.084 1.258 3.893
Ir Er Y
1 1 1
direct
0.330 0.333 0.667
0.104 0.000 0.000
0.567 0.667 0.333
```

---

Bottom line: run 2, by a margin of 0.006 eV/atom.

---

Run 1
Er3Zn2Ir: optimized geometry, PBE.

- space-group type = P4/mmm, No. 123

The structure in POSCAR format:
```
Er3Zn2Ir
1.0
-0.887 -3.150 -1.244
3.348 -1.010 0.170
-1.527 -3.422 9.750
Zn Er Ir
2 3 1
direct
0.500 0.500 0.168
0.500 0.500 0.832
0.000 0.000 0.653
0.000 0.000 0.000
0.000 0.000 0.347
0.500 0.500 0.500
```

---

Run 2
Er3Zn2Ir: optimized geometry, PBE.

- space-group type = P-3m1, No. 164

The structure in POSCAR format:
```
Er3Zn2Ir
1.0
4.902 0.000 0.000
-2.451 4.245 0.000
0.000 0.000 6.062
Zn Er Ir
2 3 1
direct
0.333 0.667 0.648
0.667 0.333 0.352
0.000 0.000 0.500
0.667 0.333 0.846
0.333 0.667 0.154
0.000 0.000 0.000
```

---

Bottom line: run 2, by a margin of 0.024 eV/atom.